No. 1
Computed, not measured: an optimized crystal structure of YBIN2 at the PBE level of DFT.

ΔE to the lowest computed polymorph = 0.293 eV per atom
Energy relative to the elements, uncorrected = 1.476 eV/atom
Spin magnetization = 3.01 μB per cell

Cell lengths 4.437, 4.437, 6.415 Å; angles 90.00, 90.00, 90.00 degrees
Each line ends with the local moment (μB).
Fractional positions:
I 0.000 0.000 0.500  0.03
Y 0.000 0.000 0.000  0.07
B 0.500 0.500 0.500  -0.06
N 0.000 0.500 0.000  1.05
N 0.500 0.000 0.000  1.05


No. 2
Computed, not measured: an optimized crystal structure of YBIN2 at the PBE level of DFT.

ΔE to the lowest computed polymorph = 0.000 eV per atom
Energy relative to the elements, uncorrected = 1.183 eV/atom
Spin magnetization = 0.79 μB per cell

Cell lengths 4.014, 4.014, 4.589 Å; angles 90.00, 90.00, 90.00 degrees
Each line ends with the local moment (μB).
Fractional positions:
I 0.000 0.000 0.500  0.02
Y 0.500 0.500 0.500  -0.01
B 0.000 0.000 0.000  0.00
N 0.000 0.500 0.000  0.28
N 0.500 0.000 0.000  0.28


No. 3
Computed, not measured: an optimized crystal structure of ZnBI2N at the PBE level of DFT.

ΔE to the lowest computed polymorph = 0.000 eV per atom
Energy relative to the elements, uncorrected = 0.059 eV/atom
Spin magnetization = 0.00 μB per cell

Cell lengths 7.559, 7.559, 2.741 Å; angles 90.00, 90.00, 90.00 degrees
Fractional positions:
I 0.000 0.500 0.000
I 0.500 0.000 0.000
Zn 0.500 0.500 0.500
B 0.000 0.000 0.000
N 0.000 0.000 0.500